Density functional theory data (GGA+U) for an optimized crystal structure of Li2NpFeO6.

As for the uncorrected energy: -215.185 eV per cell.

The structure belongs to space group R-3 (No. 148, hexagonal axes); the cell edges are 5.1528, 5.1528 and 14.0929 Å and the angles 90.00°, 90.00° and 120.00°. The distinct sites, in fractional coordinates, are Li at (0.0000, 0.0000, 0.2119), Np at (0.0000, 0.0000, 0.0000), Fe at (0.0000, 0.0000, 0.5000) and O at (0.0035, 0.6234, 0.7551).